# KZn2WO (PBE with a Hubbard U, relaxed)
data_KZn2WO
_cell_length_a 6.789
_cell_length_b 6.789
_cell_length_c 6.653
_cell_angle_alpha 90.00
_cell_angle_beta 90.00
_cell_angle_gamma 90.00
_symmetry_space_group_name_H-M 'P 4/m m m'
_symmetry_Int_Tables_number 123
_symmetry_space_group_name_Hall '-P 4 2'
loop_
_atom_site_label
_atom_site_type_symbol
_atom_site_fract_x
_atom_site_fract_y
_atom_site_fract_z
_atom_site_occupancy
K1 K 0.000 0.000 0.000 1
Zn1 Zn 0.000 0.500 0.000 1
W1 W 0.000 0.000 0.500 1
O1 O 0.500 0.500 0.500 1
# Energy ... -1.35 eV/atom
# Magnetization ... 4.0 μB/f.u.
# Density of states at the Fermi level ... 3.117 states/eV/atom